[1]
Below is an optimized crystal structure of NaSi2BO6, with properties calculated at the PBE-GGA level.

Lattice parameters (Å, degrees): 5.452 6.992 6.992 91.11 69.87 69.87
Fractional coordinates of all 20 atoms:
1 O 0.218 0.003 0.771
2 O 0.989 0.369 0.803
3 O 0.192 0.658 0.669
4 O 0.808 0.342 0.331
5 O 0.511 0.197 0.631
6 O 0.692 0.669 0.658
7 O 0.282 0.229 0.997
8 O 0.782 0.997 0.229
9 O 0.489 0.803 0.369
10 O 0.011 0.631 0.197
11 O 0.718 0.771 0.003
12 O 0.308 0.331 0.342
13 Na 0.750 0.130 0.870
14 Na 0.250 0.870 0.130
15 B 0.750 0.796 0.204
16 B 0.250 0.204 0.796
17 Si 0.406 0.784 0.613
18 Si 0.906 0.613 0.784
19 Si 0.594 0.216 0.387
20 Si 0.094 0.387 0.216

The formation energy from raw total energies is -2581 meV/atom. The density is 2.662 g cm⁻³. As for the space-group type: C2/c.


[2]
Below is an optimized crystal structure of FeCo4Pt, with properties calculated at the PBE-GGA level.

Lattice parameters (Å, degrees): 4.691 4.691 4.691 60.00 60.00 60.00
Last column: magnetic moment on the atom in μB.
Fractional coordinates of all 6 atoms:
1 Co 0.125 0.625 0.625  1.75
2 Co 0.625 0.625 0.625  1.75
3 Co 0.625 0.625 0.125  1.75
4 Co 0.625 0.125 0.625  1.75
5 Fe 0.250 0.250 0.250  2.91
6 Pt 0.000 0.000 0.000  0.34

The density is 11.069 g cm⁻³. As for the formation energy: 13 kJ/mol of formula units. As for the space-group type: F-43m.


[3]
Below is an optimized crystal structure of Zn2TeRh, with properties calculated at the PBE-GGA level.

Lattice parameters (Å, degrees): 3.075 3.075 8.344 90.00 90.00 90.00
Fractional coordinates of all 4 atoms:
1 Zn 0.000 0.000 0.080
2 Zn 0.000 0.000 0.420
3 Te 0.500 0.500 0.750
4 Rh 0.500 0.500 0.250

The formation energy from raw total energies is -83 meV/atom. The density is 7.607 g cm⁻³. As for the space-group type: P4/mmm.


[4]
Below is an optimized crystal structure of LiB2C2, with properties calculated at the PBE-GGA level.

Lattice parameters (Å, degrees): 8.625 8.681 2.729 90.00 90.00 115.69
Fractional coordinates of all 20 atoms:
1 C 0.447 0.225 0.000
2 C 0.210 0.964 0.500
3 C 0.797 0.038 0.500
4 C 0.540 0.786 0.000
5 C 0.033 0.303 0.000
6 C 0.953 0.712 0.000
7 C 0.717 0.447 0.500
8 C 0.303 0.525 0.500
9 Li 0.725 0.229 0.000
10 Li 0.731 0.722 0.500
11 Li 0.019 0.028 0.000
12 Li 0.025 0.521 0.500
13 B 0.715 0.953 0.000
14 B 0.525 0.303 0.500
15 B 0.294 0.040 0.000
16 B 0.955 0.222 0.500
17 B 0.456 0.710 0.500
18 B 0.035 0.797 0.500
19 B 0.795 0.528 0.000
20 B 0.225 0.447 0.000

The density is 1.897 g cm⁻³. As for the formation energy: -9 kJ/mol of formula units. As for the space-group type: P2_1/m.


Number 1: size of the total moment 0.00 μB/cell. Number 2: size of the total moment 10.19 μB/cell. Number 3: size of the total moment 0.00 μB/cell. Number 4: size of the total moment 0.00 μB/cell.